No. 1
# Ba2TaIr2 PBE optimized geometry
# **E above lowest polymorph**: 0 meV/atom
# **Density of states at the Fermi level**: 0.79 states/eV/atom
# **DFT formation energy**: 93 meV per atom
# **Crystal system**: tetragonal
# **Final energy**: -65.9 eV/cell
# **Magnetization**: 0.000 μB/cell
data_Ba2TaIr2
_cell_length_a 6.8105
_cell_length_b 6.8105
_cell_length_c 5.5287
_cell_angle_alpha 90.00
_cell_angle_beta 90.00
_cell_angle_gamma 90.00
_symmetry_space_group_name_H-M 'P 1'
_symmetry_Int_Tables_number 1
loop_
_symmetry_equiv_pos_as_xyz
'x,y,z'
loop_
_atom_site_label
_atom_site_fract_x
_atom_site_fract_y
_atom_site_fract_z
Ba1 0.1791 0.3209 0.0000
Ba2 0.3209 0.8209 0.0000
Ba3 0.6791 0.1791 0.0000
Ba4 0.8209 0.6791 0.0000
Ta1 0.0000 0.0000 0.5000
Ta2 0.5000 0.5000 0.5000
Ir1 0.1318 0.6318 0.5000
Ir2 0.3682 0.1318 0.5000
Ir3 0.6318 0.8682 0.5000
Ir4 0.8682 0.3682 0.5000

---

No. 2
# Ca6Tm PBE optimized geometry
# **Density of states at the Fermi level**: 1.76 states/eV/atom
# **DFT formation energy**: 1234 meV per atom
# **Crystal system**: cubic
# **Final energy**: -7.8 eV/cell
# **Magnetization**: 0.000 μB/cell
data_Ca6Tm
_cell_length_a 7.7978
_cell_length_b 7.7978
_cell_length_c 7.7978
_cell_angle_alpha 109.47
_cell_angle_beta 109.47
_cell_angle_gamma 109.47
_symmetry_space_group_name_H-M 'P 1'
_symmetry_Int_Tables_number 1
loop_
_symmetry_equiv_pos_as_xyz
'x,y,z'
loop_
_atom_site_label
_atom_site_fract_x
_atom_site_fract_y
_atom_site_fract_z
Ca1 0.2500 0.5000 0.7500
Ca2 0.2500 0.7500 0.5000
Ca3 0.5000 0.2500 0.7500
Ca4 0.5000 0.7500 0.2500
Ca5 0.7500 0.2500 0.5000
Ca6 0.7500 0.5000 0.2500
Tm1 0.0000 0.0000 0.0000

---

No. 3
# InGaI2 PBE optimized geometry
# **E above lowest polymorph**: 76 meV/atom
# **Crystal system**: tetragonal
# **Final energy**: -10.1 eV/cell
# **Energy relative to the elements, uncorrected**: -0.321 eV/atom
# **Magnetization**: 0.000 μB/cell
data_InGaI2
_cell_length_a 4.1285
_cell_length_b 4.1285
_cell_length_c 8.3178
_cell_angle_alpha 90.00
_cell_angle_beta 90.00
_cell_angle_gamma 90.00
_symmetry_space_group_name_H-M 'P 1'
_symmetry_Int_Tables_number 1
loop_
_symmetry_equiv_pos_as_xyz
'x,y,z'
loop_
_atom_site_label
_atom_site_fract_x
_atom_site_fract_y
_atom_site_fract_z
In1 0.0000 0.0000 0.0000
Ga1 0.0000 0.0000 0.5000
I1 0.5000 0.5000 0.2602
I2 0.5000 0.5000 0.7398

---

No. 4
# Li2CaScAu4 PBE optimized geometry
# **Density of states at the Fermi level**: 0.49 states/eV/atom
# **DFT formation energy**: -663 meV per atom
# **Crystal system**: trigonal
# **Final energy**: -30.6 eV/cell
# **Magnetization**: 0.000 μB/cell
data_Li2CaScAu4
_cell_length_a 8.7375
_cell_length_b 8.7375
_cell_length_c 8.7375
_cell_angle_alpha 30.88
_cell_angle_beta 30.88
_cell_angle_gamma 30.88
_symmetry_space_group_name_H-M 'P 1'
_symmetry_Int_Tables_number 1
loop_
_symmetry_equiv_pos_as_xyz
'x,y,z'
loop_
_atom_site_label
_atom_site_fract_x
_atom_site_fract_y
_atom_site_fract_z
Li1 0.2462 0.2462 0.2462
Li2 0.7538 0.7538 0.7538
Ca1 0.0000 0.0000 0.0000
Sc1 0.5000 0.5000 0.5000
Au1 0.1277 0.1277 0.1277
Au2 0.3894 0.3894 0.3894
Au3 0.6106 0.6106 0.6106
Au4 0.8723 0.8723 0.8723

---

No. 5
# LiCdBiF6 PBE optimized geometry
# **Density of states at the Fermi level**: 0.00 states/eV/atom
# **Crystal system**: trigonal
# **Final energy**: -80.3 eV/cell
# **Energy relative to the elements, uncorrected**: -2.468 eV/atom
# **Magnetization**: 0.000 μB/cell
data_LiCdBiF6
_cell_length_a 5.5302
_cell_length_b 5.5302
_cell_length_c 10.0497
_cell_angle_alpha 90.00
_cell_angle_beta 90.00
_cell_angle_gamma 120.00
_symmetry_space_group_name_H-M 'P 1'
_symmetry_Int_Tables_number 1
loop_
_symmetry_equiv_pos_as_xyz
'x,y,z'
loop_
_atom_site_label
_atom_site_fract_x
_atom_site_fract_y
_atom_site_fract_z
Li1 0.3333 0.6667 0.2500
Li2 0.6667 0.3333 0.7500
Cd1 0.3333 0.6667 0.7500
Cd2 0.6667 0.3333 0.2500
Bi1 0.0000 0.0000 0.0000
Bi2 0.0000 0.0000 0.5000
F1 0.0234 0.3494 0.1330
F2 0.0234 0.6740 0.3670
F3 0.3260 0.3494 0.3670
F4 0.3260 0.9766 0.1330
F5 0.3494 0.0234 0.6330
F6 0.3494 0.3260 0.8670
F7 0.6506 0.6740 0.1330
F8 0.6506 0.9766 0.3670
F9 0.6740 0.0234 0.8670
F10 0.6740 0.6506 0.6330
F11 0.9766 0.3260 0.6330
F12 0.9766 0.6506 0.8670

---

No. 6
# TbPr3Th2Se6 PBE optimized geometry
# **Density of states at the Fermi level**: 0.61 states/eV/atom
# **Crystal system**: monoclinic
# **Final energy**: -75.3 eV/cell
# **Energy relative to the elements, uncorrected**: -1.719 eV/atom
# **Magnetization**: 0.000 μB/cell
data_TbPr3Th2Se6
_cell_length_a 7.2956
_cell_length_b 7.2956
_cell_length_c 7.3152
_cell_angle_alpha 99.61
_cell_angle_beta 99.61
_cell_angle_gamma 119.90
_symmetry_space_group_name_H-M 'P 1'
_symmetry_Int_Tables_number 1
loop_
_symmetry_equiv_pos_as_xyz
'x,y,z'
loop_
_atom_site_label
_atom_site_fract_x
_atom_site_fract_y
_atom_site_fract_z
Tb1 0.0000 0.0000 0.0000
Pr1 0.1684 0.8316 0.5000
Pr2 0.5000 0.5000 0.5000
Pr3 0.8316 0.1684 0.5000
Th1 0.3333 0.6667 0.0000
Th2 0.6667 0.3333 0.0000
Se1 0.0807 0.4078 0.2422
Se2 0.2457 0.2457 0.7560
Se3 0.4078 0.0807 0.2422
Se4 0.5922 0.9193 0.7578
Se5 0.7543 0.7543 0.2440
Se6 0.9193 0.5922 0.7578

---

No. 7
# Li2Mg PBE optimized geometry
# **Density of states at the Fermi level**: 0.33 states/eV/atom
# **DFT formation energy**: -25 meV per atom
# **Crystal system**: orthorhombic
# **Final energy**: -11.0 eV/cell
# **Magnetization**: 0.000 μB/cell
data_Li2Mg
_cell_length_a 8.1100
_cell_length_b 8.1100
_cell_length_c 5.0130
_cell_angle_alpha 90.00
_cell_angle_beta 90.00
_cell_angle_gamma 157.65
_symmetry_space_group_name_H-M 'P 1'
_symmetry_Int_Tables_number 1
loop_
_symmetry_equiv_pos_as_xyz
'x,y,z'
loop_
_atom_site_label
_atom_site_fract_x
_atom_site_fract_y
_atom_site_fract_z
Li1 0.0564 0.9436 0.7500
Li2 0.3923 0.6077 0.7500
Li3 0.6077 0.3923 0.2500
Li4 0.9436 0.0564 0.2500
Mg1 0.2795 0.7205 0.2500
Mg2 0.7205 0.2795 0.7500

---

No. 8
# CeUTe2N PBE optimized geometry
# **Density of states at the Fermi level**: 0.89 states/eV/atom
# **Crystal system**: tetragonal
# **Final energy**: -73.6 eV/cell
# **Energy relative to the elements, uncorrected**: -0.995 eV/atom
# **Magnetization**: 5.181 μB/cell
data_CeUTe2N
_cell_length_a 4.2063
_cell_length_b 4.2063
_cell_length_c 14.6533
_cell_angle_alpha 90.00
_cell_angle_beta 90.00
_cell_angle_gamma 90.00
_symmetry_space_group_name_H-M 'P 1'
_symmetry_Int_Tables_number 1
loop_
_symmetry_equiv_pos_as_xyz
'x,y,z'
loop_
_atom_site_label
_atom_site_fract_x
_atom_site_fract_y
_atom_site_fract_z
Ce1 0.2500 0.2500 0.0701
Ce2 0.7500 0.7500 0.9299
U1 0.2500 0.2500 0.5945
U2 0.7500 0.7500 0.4055
Te1 0.2500 0.2500 0.3789
Te2 0.2500 0.2500 0.7992
Te3 0.7500 0.7500 0.2008
Te4 0.7500 0.7500 0.6211
N1 0.2500 0.7500 0.0000
N2 0.7500 0.2500 0.0000

---

No. 9
# BaCrInCo2 PBE optimized geometry
# **Density of states at the Fermi level**: 1.76 states/eV/atom
# **DFT formation energy**: 1318 meV per atom
# **Crystal system**: tetragonal
# **Final energy**: -21.9 eV/cell
# **Magnetization**: 2.369 μB/cell
data_BaCrInCo2
_cell_length_a 4.9668
_cell_length_b 4.9668
_cell_length_c 5.0462
_cell_angle_alpha 90.00
_cell_angle_beta 90.00
_cell_angle_gamma 90.00
_symmetry_space_group_name_H-M 'P 1'
_symmetry_Int_Tables_number 1
loop_
_symmetry_equiv_pos_as_xyz
'x,y,z'
loop_
_atom_site_label
_atom_site_fract_x
_atom_site_fract_y
_atom_site_fract_z
Ba1 0.0000 0.0000 0.0000
Cr1 0.5000 0.5000 0.0000
In1 0.5000 0.5000 0.5000
Co1 0.0000 0.5000 0.5000
Co2 0.5000 0.0000 0.5000

---

No. 10
# Tb5Dy5Sc2 PBE optimized geometry
# **E above lowest polymorph**: 0 meV/atom
# **Density of states at the Fermi level**: 1.48 states/eV/atom
# **DFT formation energy**: 33 meV per atom
# **Crystal system**: monoclinic
# **Final energy**: -58.4 eV/cell
# **Magnetization**: 0.000 μB/cell
data_Tb5Dy5Sc2
_cell_length_a 7.8291
_cell_length_b 7.8291
_cell_length_c 11.0833
_cell_angle_alpha 115.09
_cell_angle_beta 115.09
_cell_angle_gamma 36.87
_symmetry_space_group_name_H-M 'P 1'
_symmetry_Int_Tables_number 1
loop_
_symmetry_equiv_pos_as_xyz
'x,y,z'
loop_
_atom_site_label
_atom_site_fract_x
_atom_site_fract_y
_atom_site_fract_z
Tb1 0.0000 0.0000 0.0000
Tb2 0.0810 0.0810 0.7501
Tb3 0.1673 0.1673 0.4998
Tb4 0.8327 0.8327 0.5002
Tb5 0.9190 0.9190 0.2499
Dy1 0.2470 0.2470 0.2483
Dy2 0.3350 0.3350 0.0002
Dy3 0.5000 0.5000 0.5000
Dy4 0.6650 0.6650 0.9998
Dy5 0.7530 0.7530 0.7517
Sc1 0.4160 0.4160 0.7488
Sc2 0.5840 0.5840 0.2512

---

No. 11
# LiZrIn PBE optimized geometry
# **E above lowest polymorph**: 147 meV/atom
# **Density of states at the Fermi level**: 0.79 states/eV/atom
# **DFT formation energy**: -76 meV per atom
# **Crystal system**: orthorhombic
# **Final energy**: -26.9 eV/cell
# **Magnetization**: 0.000 μB/cell
data_LiZrIn
_cell_length_a 4.4605
_cell_length_b 6.5638
_cell_length_c 6.5638
_cell_angle_alpha 40.37
_cell_angle_beta 90.00
_cell_angle_gamma 90.00
_symmetry_space_group_name_H-M 'P 1'
_symmetry_Int_Tables_number 1
loop_
_symmetry_equiv_pos_as_xyz
'x,y,z'
loop_
_atom_site_label
_atom_site_fract_x
_atom_site_fract_y
_atom_site_fract_z
Li1 0.0000 0.0000 0.0000
Li2 0.5000 0.1595 0.1595
Zr1 0.0000 0.6711 0.6711
Zr2 0.5000 0.8470 0.8470
In1 0.0000 0.3288 0.3288
In2 0.5000 0.5131 0.5131

---

No. 12
# Tb3Er3CuTc2 PBE optimized geometry
# **Density of states at the Fermi level**: 1.02 states/eV/atom
# **DFT formation energy**: -15 meV per atom
# **Crystal system**: hexagonal
# **Final energy**: -52.5 eV/cell
# **Magnetization**: 0.000 μB/cell
data_Tb3Er3CuTc2
_cell_length_a 8.0241
_cell_length_b 8.0241
_cell_length_c 3.8471
_cell_angle_alpha 90.00
_cell_angle_beta 90.00
_cell_angle_gamma 120.00
_symmetry_space_group_name_H-M 'P 1'
_symmetry_Int_Tables_number 1
loop_
_symmetry_equiv_pos_as_xyz
'x,y,z'
loop_
_atom_site_label
_atom_site_fract_x
_atom_site_fract_y
_atom_site_fract_z
Tb1 0.0000 0.7353 0.0000
Tb2 0.2647 0.2647 0.0000
Tb3 0.7353 0.0000 0.0000
Er1 0.0000 0.4071 0.5000
Er2 0.4071 0.0000 0.5000
Er3 0.5929 0.5929 0.5000
Cu1 0.0000 0.0000 0.5000
Tc1 0.3333 0.6667 0.0000
Tc2 0.6667 0.3333 0.0000

---

- The highest magnetization belongs to which entry?
  CeUTe2N

---

- Which of these has the highest magnetization?
  CeUTe2N